1.
Co2Pd | PBE | optimized geometry

Lattice parameters (Å, degrees): 4.9765 4.9765 4.1616 90.00 90.00 90.00
With the nearest neighbours (Å) after each atom.
Fractional positions:
Co 0.1668 0.1668 0.0000  3 Pd 2.35-2.39, 1 Co 2.35
Co 0.3332 0.6668 0.5000  3 Pd 2.35-2.39, 1 Co 2.35
Co 0.6668 0.3332 0.5000  3 Pd 2.35-2.39, 1 Co 2.35
Co 0.8332 0.8332 0.0000  3 Pd 2.35-2.39, 1 Co 2.35
Pd 0.0000 0.0000 0.5000  6 Co 2.35-2.39
Pd 0.5000 0.5000 0.0000  6 Co 2.35-2.39

## Properties
Raw total energy ... -29.62 eV for the cell shown
Calculated volume ... 17.18 Å³/atom

---

2.
HoZrS2O | PBE | optimized geometry

Lattice parameters (Å, degrees): 6.2437 6.2437 8.5205 94.28 94.28 32.91
With the nearest neighbours (Å) after each atom.
Fractional positions:
Ho 0.2378 0.2378 0.3061  3 O 2.29-2.38
Ho 0.7622 0.7622 0.6939  3 O 2.29-2.38
Zr 0.0000 0.0000 0.0000  6 S 2.56-2.66
Zr 0.5000 0.5000 0.5000  2 O 2.11
S 0.0754 0.0754 0.7149  3 Zr 2.65-2.66, 2 Ho 2.87
S 0.3515 0.3515 0.9210  2 Zr 2.56, 2 Ho 2.77
S 0.6485 0.6485 0.0790  2 Zr 2.56, 2 Ho 2.77
S 0.9246 0.9246 0.2851  3 Zr 2.65-2.66, 2 Ho 2.87
O 0.3330 0.3330 0.5618  1 Zr 2.11, 2 Ho 2.29
O 0.6670 0.6670 0.4382  1 Zr 2.11, 2 Ho 2.29

## Properties
Raw total energy ... -75.53 eV for the cell shown
Calculated volume ... 17.99 Å³/atom

---

> Number 2 is which compound?

HoZrS2O

---

> Look up the raw total energy of the second one.

-75.53 eV for the cell shown

---

What did the second record say?
HoZrS2O | PBE | optimized geometry

Lattice parameters (Å, degrees): 6.2437 6.2437 8.5205 94.28 94.28 32.91
With the nearest neighbours (Å) after each atom.
Fractional positions:
Ho 0.2378 0.2378 0.3061  3 O 2.29-2.38
Ho 0.7622 0.7622 0.6939  3 O 2.29-2.38
Zr 0.0000 0.0000 0.0000  6 S 2.56-2.66
Zr 0.5000 0.5000 0.5000  2 O 2.11
S 0.0754 0.0754 0.7149  3 Zr 2.65-2.66, 2 Ho 2.87
S 0.3515 0.3515 0.9210  2 Zr 2.56, 2 Ho 2.77
S 0.6485 0.6485 0.0790  2 Zr 2.56, 2 Ho 2.77
S 0.9246 0.9246 0.2851  3 Zr 2.65-2.66, 2 Ho 2.87
O 0.3330 0.3330 0.5618  1 Zr 2.11, 2 Ho 2.29
O 0.6670 0.6670 0.4382  1 Zr 2.11, 2 Ho 2.29

## Properties
Raw total energy ... -75.53 eV for the cell shown
Calculated volume ... 17.99 Å³/atom